A plane-wave DFT calculation with PBE+U was carried out for a geometry-optimized PaMn2NiO6 structure.

Properties
- E (eV/f.u.) = -76.94
- Fermi-level density of states (states/eV per atom) = 0.00

Unit cell a=5.3708 b=5.3708 c=14.2588 alpha=90.00 beta=90.00 gamma=120.00
Closest atoms and distances in Å follow each position.
Space group R3 (No. 146, hexagonal axes)
Asymmetric unit:
Pa1 0.0000 0.0000 0.0000 [3 per cell]  6 O 2.17-2.25
Mn1 0.0000 0.0000 0.2780 [3 per cell]  3 O 2.10
Mn2 0.0000 0.0000 0.8004 [3 per cell]  6 O 2.01
Ni1 0.0000 0.0000 0.4868 [3 per cell]  6 O 2.11-2.13
O1 0.0061 0.6340 0.0617 [9 per cell]  1 Mn 2.01, 1 Ni 2.13, 1 Pa 2.17
O2 0.0433 0.3696 0.5540 [9 per cell]  2 Mn 2.01-2.10, 1 Ni 2.11